Compound: Li4MnTe3O12
Source: the Alexandria database
Functional: PBE with a Hubbard U
Structure: relaxed

Structure (POSCAR):
```
Li4MnTe3O12
1.0
5.029 0.000 0.000
0.000 8.825 0.000
-0.296 0.000 5.155
Li Mn Te O
4 1 3 12
direct
0.000 0.000 0.000
0.000 0.308 0.500
0.500 0.428 0.500
0.500 0.823 0.000
0.500 0.234 0.000
0.000 0.526 0.000
0.000 0.730 0.500
0.500 0.057 0.500
0.204 0.550 0.333
0.216 0.689 0.852
0.240 0.382 0.847
0.282 0.909 0.315
0.288 0.079 0.806
0.306 0.225 0.312
0.694 0.225 0.688
0.712 0.079 0.194
0.718 0.909 0.685
0.760 0.382 0.153
0.784 0.689 0.148
0.796 0.550 0.667
```

Values from the calculation:
**ΔE to the lowest computed polymorph**: 0.000 eV/atom
**Total energy**: -112.26 eV for the cell shown
**M_tot**: 3.0 μB/f.u.